Entry from Alexandria: crystalline Sr2FeAu at its relaxed geometry (PBE-GGA).

Cell: 5.470 5.470 3.710 Å, 90.03 90.03 90.10°
Site moments in Bohr magnetons follow the coordinates.
Positions (direct):
Au 0.500 0.000 0.500  -0.01
Sr 0.500 0.500 0.000  -0.06
Fe 0.000 0.500 0.500  2.81
Sr 0.000 0.000 0.000  -0.06

Output
Crystal system: orthorhombic
E, eV/cell: -14.8
ΔH_f (0 K), eV per atom: 0.08
Density of states at the Fermi level, states/eV/atom: 1.546